The following is a PBE-GGA calculation of a relaxed NbH3Ir crystal, from Alexandria.

Cell lengths 3.4989, 3.4989, 3.4989 Å; angles 90.00, 90.00, 90.00 degrees
Closest atoms and distances in Å follow each position.
Fractional positions:
Nb  0.0000  0.0000  0.0000  12 H 2.47
H  0.0000  0.5000  0.5000  2 Ir 1.75
H  0.5000  0.0000  0.5000  2 Ir 1.75
H  0.5000  0.5000  0.0000  2 Ir 1.75
Ir  0.5000  0.5000  0.5000  6 H 1.75

Summary:
The value obtained for the calculated volume is 8.57 Å³/atom. Its raw total energy is -5.716 eV per atom. As for the space group: No. 221.